# LaY2TlC

Crystalline LaY2TlC at its relaxed geometry (PBE, the Alexandria database).

Lattice parameters (Å, degrees): 4.980 4.980 5.185 90.00 90.00 90.00
Fractional coordinates of all 5 atoms:
1 La 0.000 0.000 0.000
2 Y 0.000 0.500 0.500
3 Y 0.500 0.000 0.500
4 Tl 0.500 0.500 0.000
5 C 0.000 0.000 0.500

Magnetic moment (μB/f.u.): 0.00
Symmetry: P4/mmm (123)
V (Å³/cell): 128.6
E_tot (eV/atom): -6.28